Crystalline Te3AsS at its relaxed geometry. Source: the Alexandria database, functional PBE-GGA.

- volume (Å³/cell) = 157.49
- ΔE to the lowest computed polymorph (eV per atom) = 0.119
- crystal system = cubic
- N(E_F) (states/eV/atom) = 1.4731
- energy relative to the elements, uncorrected (meV/atom) = 853

Lattice parameters (Å, degrees): 5.4002 5.4002 5.4002 90.00 90.00 90.00
Closest atoms and distances in Å follow each position.
Sites, in units of the cell vectors:
Te 0.0000 0.0000 0.5000  2 As 2.70
Te 0.0000 0.5000 0.0000  2 As 2.70
Te 0.5000 0.0000 0.0000  2 As 2.70
As 0.0000 0.0000 0.0000  6 Te 2.70
S 0.5000 0.5000 0.5000  12 Te 3.82


Crystalline TeAs3S at its relaxed geometry. Source: the Alexandria database, functional PBE-GGA.

- volume (Å³/cell) = 150.11
- ΔE to the lowest computed polymorph (eV per atom) = 0.682
- crystal system = cubic
- N(E_F) (states/eV/atom) = 1.1158
- energy relative to the elements, uncorrected (meV/atom) = 1357

Lattice parameters (Å, degrees): 5.3146 5.3146 5.3146 90.00 90.00 90.00
Closest atoms and distances in Å follow each position.
Sites, in units of the cell vectors:
Te 0.0000 0.0000 0.0000  6 As 2.66
As 0.0000 0.0000 0.5000  2 Te 2.66
As 0.0000 0.5000 0.0000  2 Te 2.66
As 0.5000 0.0000 0.0000  2 Te 2.66
S 0.5000 0.5000 0.5000  12 As 3.76


Crystalline TeAsS at its relaxed geometry. Source: the Alexandria database, functional PBE-GGA.

- volume (Å³/cell) = 70.09
- ΔE to the lowest computed polymorph (eV per atom) = 0.120
- crystal system = trigonal
- N(E_F) (states/eV/atom) = 0.5284
- energy relative to the elements, uncorrected (meV/atom) = 137

Lattice parameters (Å, degrees): 4.0010 4.0010 5.0562 90.00 90.00 120.00
Closest atoms and distances in Å follow each position.
Sites, in units of the cell vectors:
Te 0.0000 0.0000 0.0000  3 As 2.84, 3 S 3.03
As 0.3333 0.6667 0.6738  3 S 2.72, 3 Te 2.84
S 0.6667 0.3333 0.3880  3 As 2.72, 3 Te 3.03


Crystalline TeAsS at its relaxed geometry. Source: the Alexandria database, functional PBE-GGA.

- volume (Å³/cell) = 89.86
- ΔE to the lowest computed polymorph (eV per atom) = 0.180
- crystal system = orthorhombic
- N(E_F) (states/eV/atom) = 0.4302
- energy relative to the elements, uncorrected (meV/atom) = 197

Lattice parameters (Å, degrees): 2.8497 5.6286 5.6022 90.00 90.00 90.00
Closest atoms and distances in Å follow each position.
Sites, in units of the cell vectors:
Te 0.0000 0.0000 0.0000  2 Te 2.85, 2 As 2.95
As 0.0000 0.5000 0.1555  1 S 2.19
S 0.0000 0.5000 0.5471  1 As 2.19


Crystalline TeAs2S4 at its relaxed geometry. Source: the Alexandria database, functional PBE-GGA.

- volume (Å³/cell) = 184.10
- crystal system = tetragonal
- N(E_F) (states/eV/atom) = 0.2061
- energy relative to the elements, uncorrected (meV/atom) = 192

Lattice parameters (Å, degrees): 6.2145 6.2145 6.2145 107.55 107.55 113.38
Closest atoms and distances in Å follow each position.
Sites, in units of the cell vectors:
Te 0.0000 0.0000 0.0000  4 S 2.68
As 0.2500 0.7500 0.5000  4 S 2.51
As 0.7500 0.2500 0.5000  4 S 2.51
S 0.1745 0.3210 0.4955  2 As 2.51, 1 Te 2.68
S 0.3210 0.8255 0.1465  2 As 2.51, 1 Te 2.68
S 0.6790 0.1745 0.8535  2 As 2.51, 1 Te 2.68
S 0.8255 0.6790 0.5045  2 As 2.51, 1 Te 2.68


Crystalline TeAsS at its relaxed geometry. Source: the Alexandria database, functional PBE-GGA.

- volume (Å³/cell) = 193.88
- ΔE to the lowest computed polymorph (eV per atom) = 0.027
- crystal system = monoclinic
- N(E_F) (states/eV/atom) = 0.4396
- energy relative to the elements, uncorrected (meV/atom) = 44

Lattice parameters (Å, degrees): 10.0442 10.0442 6.2289 103.99 103.99 18.56
Closest atoms and distances in Å follow each position.
Sites, in units of the cell vectors:
Te 0.0470 0.0470 0.2778  1 As 2.70
Te 0.9530 0.9530 0.7222  1 As 2.70
As 0.1698 0.1698 0.1636  2 S 2.28
As 0.8302 0.8302 0.8364  2 S 2.28
S 0.3485 0.3485 0.1014  2 As 2.28
S 0.6515 0.6515 0.8986  2 As 2.28


Crystalline TeAs3S at its relaxed geometry. Source: the Alexandria database, functional PBE-GGA.

- volume (Å³/cell) = 115.60
- ΔE to the lowest computed polymorph (eV per atom) = 0.000
- crystal system = cubic
- N(E_F) (states/eV/atom) = 0.8699
- energy relative to the elements, uncorrected (meV/atom) = 675

Lattice parameters (Å, degrees): 4.8714 4.8714 4.8714 90.00 90.00 90.00
Closest atoms and distances in Å follow each position.
Sites, in units of the cell vectors:
Te 0.0000 0.0000 0.0000  12 As 3.44
As 0.0000 0.5000 0.5000  2 S 2.44
As 0.5000 0.0000 0.5000  2 S 2.44
As 0.5000 0.5000 0.0000  2 S 2.44
S 0.5000 0.5000 0.5000  6 As 2.44


Crystalline TeAsS at its relaxed geometry. Source: the Alexandria database, functional PBE-GGA.

- volume (Å³/cell) = 91.40
- ΔE to the lowest computed polymorph (eV per atom) = 0.092
- crystal system = triclinic
- N(E_F) (states/eV/atom) = 0.5435
- energy relative to the elements, uncorrected (meV/atom) = 110

Lattice parameters (Å, degrees): 3.1107 3.1803 9.2466 91.92 91.34 90.07
Closest atoms and distances in Å follow each position.
Sites, in units of the cell vectors:
Te 0.0000 0.0000 0.0000  4 Te 3.11-3.18
As 0.4635 0.4666 0.6363  2 S 2.25
S 0.4517 0.9499 0.4647  2 As 2.25


Crystalline TeAsS at its relaxed geometry. Source: the Alexandria database, functional PBE-GGA.

- volume (Å³/cell) = 91.30
- ΔE to the lowest computed polymorph (eV per atom) = 0.015
- crystal system = monoclinic
- N(E_F) (states/eV/atom) = 0.3942
- energy relative to the elements, uncorrected (meV/atom) = 33

Lattice parameters (Å, degrees): 4.0152 3.2247 7.2590 90.00 103.74 90.00
Closest atoms and distances in Å follow each position.
Sites, in units of the cell vectors:
Te 0.0000 0.0000 0.0000  1 As 2.71
As 0.8466 0.0000 0.3436  2 S 2.28
S 0.2086 0.5000 0.4995  2 As 2.28


Crystalline TeAsS at its relaxed geometry. Source: the Alexandria database, functional PBE-GGA.

- volume (Å³/cell) = 86.94
- ΔE to the lowest computed polymorph (eV per atom) = 0.109
- crystal system = triclinic
- N(E_F) (states/eV/atom) = 0.2299
- energy relative to the elements, uncorrected (meV/atom) = 127

Lattice parameters (Å, degrees): 3.9739 4.2988 5.5687 97.52 103.67 105.88
Closest atoms and distances in Å follow each position.
Sites, in units of the cell vectors:
Te 0.0000 0.0000 0.0000  2 As 2.74-2.79, 1 S 2.83
As 0.6889 0.3205 0.3137  1 S 2.22
S 0.4886 0.9542 0.5354  1 As 2.22


Crystalline TeAsS at its relaxed geometry. Source: the Alexandria database, functional PBE-GGA.

- volume (Å³/cell) = 88.27
- ΔE to the lowest computed polymorph (eV per atom) = 0.091
- crystal system = monoclinic
- N(E_F) (states/eV/atom) = 0.5270
- energy relative to the elements, uncorrected (meV/atom) = 109

Lattice parameters (Å, degrees): 9.0583 9.0583 3.1114 91.15 91.15 20.23
Closest atoms and distances in Å follow each position.
Sites, in units of the cell vectors:
Te 0.0000 0.0000 0.0000  4 Te 3.11-3.18
As 0.3111 0.3111 0.4465  2 S 2.25
S 0.7222 0.7222 0.4368  2 As 2.25


Crystalline TeAsS at its relaxed geometry. Source: the Alexandria database, functional PBE-GGA.

- volume (Å³/cell) = 191.93
- ΔE to the lowest computed polymorph (eV per atom) = 0.063
- crystal system = triclinic
- energy relative to the elements, uncorrected (meV/atom) = 81

Lattice parameters (Å, degrees): 5.2399 5.8476 6.6981 84.88 69.88 88.73
Closest atoms and distances in Å follow each position.
Sites, in units of the cell vectors:
Te 0.0000 0.0000 0.0000  1 S 2.46, 1 As 2.71
Te 0.4126 0.5737 0.6935  1 S 2.43
As 0.1730 0.7047 0.3978  1 S 2.31, 1 As 2.53
As 0.2065 0.1326 0.2906  1 S 2.28, 1 As 2.53
S 0.6268 0.2784 0.0940  1 As 2.28, 1 Te 2.46
S 0.7754 0.8543 0.6205  1 As 2.31, 1 Te 2.43


Crystalline TeAsS at its relaxed geometry. Source: the Alexandria database, functional PBE-GGA.

- volume (Å³/cell) = 84.42
- ΔE to the lowest computed polymorph (eV per atom) = 0.230
- crystal system = triclinic
- N(E_F) (states/eV/atom) = 0.3605
- energy relative to the elements, uncorrected (meV/atom) = 248

Lattice parameters (Å, degrees): 2.9202 2.9223 9.9902 90.22 98.00 90.02
Closest atoms and distances in Å follow each position.
Sites, in units of the cell vectors:
Te 0.0000 0.0000 0.0000  4 Te 2.92
As 0.1663 0.0061 0.3688  1 S 2.22
S 0.2728 0.0091 0.5932  1 As 2.22


Crystalline TeAsS at its relaxed geometry. Source: the Alexandria database, functional PBE-GGA.

- volume (Å³/cell) = 82.09
- ΔE to the lowest computed polymorph (eV per atom) = 0.000
- crystal system = triclinic
- N(E_F) (states/eV/atom) = 0.4061
- energy relative to the elements, uncorrected (meV/atom) = 18

Lattice parameters (Å, degrees): 3.2942 4.0544 6.7400 86.20 89.55 66.08
Closest atoms and distances in Å follow each position.
Sites, in units of the cell vectors:
Te 0.0000 0.0000 0.0000  1 As 2.76
As 0.7348 0.5404 0.6972  2 S 2.32
S 0.3362 0.3442 0.4879  2 As 2.32